A plane-wave DFT calculation with GGA-PBE was carried out for a relaxed Ac2Hg3Bi3 crystal.

```
data_Ac2Hg3Bi3
_space_group_name_H-M_alt 'P m m m'
_space_group_IT_number 47
_space_group_name_Hall '-P 2 2'
_cell_length_a 4.881
_cell_length_b 5.155
_cell_length_c 9.964
_cell_angle_alpha 90.00
_cell_angle_beta 90.00
_cell_angle_gamma 90.00
loop_
_atom_site_label
_atom_site_type_symbol
_atom_site_fract_x
_atom_site_fract_y
_atom_site_fract_z
Ac1 Ac 0.000 0.000 0.247
Hg1 Hg 0.000 0.500 0.000
Hg2 Hg 0.500 0.500 0.232
Bi1 Bi 0.000 0.500 0.500
Bi2 Bi 0.500 0.000 0.000
Bi3 Bi 0.500 0.000 0.500
```

Results
N(E_F): 3.3 states/eV/cell
M_tot: 0.000 μB/atom
DFT formation energy: -0.51 eV/atom